1.
VASP calculation (PBE-GGA) on an optimized crystal structure of Ta2InSe.

Lattice parameters (Å, degrees): 5.718 5.288 3.109 79.88 77.36 118.44
Element x y z (fractional)
In (0.000, 0.500, 0.500)
Se (0.500, 0.500, 0.000)
Ta (0.000, 0.000, 0.000)
Ta (0.500, 0.000, 0.500)

Output
E_tot = -7.14 eV per atom
N(E_F) = 0.6769 states/eV/atom

2.
VASP calculation (PBE-GGA) on an optimized crystal structure of TaInSe2.

Lattice parameters (Å, degrees): 8.362 8.362 6.697 51.37 51.37 90.00
Element x y z (fractional)
In (0.750, 0.750, 0.500)
In (0.250, 0.250, 0.500)
Se (0.835, 0.335, 0.000)
Se (0.165, 0.665, 0.000)
Se (0.335, 0.165, 0.000)
Se (0.665, 0.835, 0.000)
Ta (0.750, 0.250, 0.500)
Ta (0.250, 0.750, 0.500)

Output
E_tot = -5.70 eV per atom
N(E_F) = 0.6831 states/eV/atom

3.
VASP calculation (PBE-GGA) on an optimized crystal structure of Ta3InSe6.

Lattice parameters (Å, degrees): 3.472 12.733 13.649 95.43 90.00 90.00
Element x y z (fractional)
Ta (0.750, 0.456, 0.584)
Ta (0.250, 0.544, 0.416)
Ta (0.750, 0.634, 0.229)
Ta (0.250, 0.366, 0.771)
Ta (0.750, 0.045, 0.931)
Ta (0.250, 0.955, 0.069)
In (0.750, 0.682, 0.936)
In (0.250, 0.318, 0.064)
Se (0.750, 0.265, 0.658)
Se (0.250, 0.735, 0.342)
Se (0.750, 0.104, 0.121)
Se (0.250, 0.896, 0.879)
Se (0.750, 0.646, 0.532)
Se (0.250, 0.354, 0.468)
Se (0.750, 0.454, 0.284)
Se (0.250, 0.546, 0.716)
Se (0.750, 0.423, 0.906)
Se (0.250, 0.577, 0.094)
Se (0.750, 0.824, 0.131)
Se (0.250, 0.176, 0.869)

Output
E_tot = -6.60 eV per atom
N(E_F) = 0.3426 states/eV/atom

4.
VASP calculation (PBE-GGA) on an optimized crystal structure of TaInSe2.

Lattice parameters (Å, degrees): 6.961 4.928 3.344 83.53 71.29 126.69
Element x y z (fractional)
In (0.500, 0.500, 0.000)
Se (0.000, 0.000, 0.000)
Se (0.500, 0.000, 0.500)
Ta (0.000, 0.500, 0.500)

Output
E_tot = -5.20 eV per atom
N(E_F) = 0.7275 states/eV/atom

5.
VASP calculation (PBE-GGA) on an optimized crystal structure of Ta2InSe.

Lattice parameters (Å, degrees): 3.132 3.132 7.513 90.00 90.00 90.00
Element x y z (fractional)
In (0.500, 0.500, 0.250)
Se (0.500, 0.500, 0.750)
Ta (0.000, 0.000, 0.965)
Ta (0.000, 0.000, 0.535)

Output
E_tot = -7.40 eV per atom
N(E_F) = 0.7929 states/eV/atom

6.
VASP calculation (PBE-GGA) on an optimized crystal structure of TaInSe2.

Lattice parameters (Å, degrees): 8.797 3.619 13.312 90.00 90.00 90.00
Element x y z (fractional)
In (0.250, 0.250, 0.331)
In (0.250, 0.750, 0.831)
In (0.750, 0.750, 0.669)
In (0.750, 0.250, 0.169)
Se (0.802, 0.250, 0.442)
Se (0.698, 0.750, 0.942)
Se (0.198, 0.750, 0.558)
Se (0.302, 0.250, 0.058)
Se (0.529, 0.250, 0.717)
Se (0.971, 0.750, 0.217)
Se (0.471, 0.750, 0.283)
Se (0.029, 0.250, 0.783)
Ta (0.995, 0.250, 0.591)
Ta (0.505, 0.750, 0.091)
Ta (0.005, 0.750, 0.409)
Ta (0.495, 0.250, 0.909)

Output
E_tot = -5.82 eV per atom
N(E_F) = 0.5504 states/eV/atom

7.
VASP calculation (PBE-GGA) on an optimized crystal structure of TaInSe2.

Lattice parameters (Å, degrees): 6.389 6.389 6.389 150.73 128.00 60.79
Element x y z (fractional)
In (0.750, 0.250, 0.500)
Se (0.070, 0.070, 0.000)
Se (0.430, 0.430, 0.000)
Ta (0.250, 0.750, 0.500)

Output
E_tot = -5.56 eV per atom
N(E_F) = 0.8621 states/eV/atom

8.
VASP calculation (PBE-GGA) on an optimized crystal structure of TaIn2Se.

Lattice parameters (Å, degrees): 10.283 10.283 10.283 18.44 18.44 18.44
Element x y z (fractional)
In (0.011, 0.011, 0.011)
In (0.254, 0.254, 0.254)
Se (0.479, 0.479, 0.479)
Ta (0.755, 0.755, 0.755)

Output
E_tot = -5.39 eV per atom
N(E_F) = 0.6157 states/eV/atom

| no. | uncorrected formation energy (eV/f.u.) |
| --- | --- |
| 1 | 1.366 |
| 2 | -1.222 |
| 3 | -6.801 |
| 4 | 0.776 |
| 5 | 0.312 |
| 6 | -1.738 |
| 7 | -0.667 |
| 8 | -0.752 |